Compound: CuRe2NiBr
Source: the Alexandria database
Functional: PBE-GGA
Structure: relaxed

a = 4.6387 Å, b = 4.6387 Å, c = 4.3773 Å
α = 90.00°, β = 90.00°, γ = 90.00°
Closest atoms and distances in Å follow each position.
Space group P4/mmm (No. 123)
Inequivalent atoms, fractional coordinates:
Cu  0.0000  0.0000  0.0000  2 Ni 2.19, 4 Re 2.32
Re  0.0000  0.5000  0.0000  2 Cu 2.32
Ni  0.0000  0.0000  0.5000  2 Cu 2.19
Br  0.5000  0.5000  0.5000  8 Re 3.19, 4 Ni 3.28

- calculated density (Mg/m³) = 10.130
- DOS at the Fermi energy (states/eV per cell) = 7.9
- total moment (μB per formula unit) = 5.18
- formation energy from raw total energies (eV/atom) = 2.09
- final energy (eV/atom) = -5.1991

---

Compound: AcPuBi2
Source: the Alexandria database
Functional: PBE-GGA
Structure: relaxed

a = 4.6716 Å, b = 4.6716 Å, c = 8.1025 Å
α = 90.00°, β = 90.00°, γ = 120.00°
Closest atoms and distances in Å follow each position.
Space group P-3m1 (No. 164)
Inequivalent atoms, fractional coordinates:
Ac  0.0000  0.0000  0.0000  6 Bi 3.47
Pu  0.0000  0.0000  0.5000  6 Bi 3.28
Bi  0.3333  0.6667  0.7305  3 Pu 3.28, 3 Ac 3.47

- energy of formation from the pure elements (eV/atom) = -0.53
- calculated density (Mg/m³) = 9.639
- DOS at the Fermi energy (states/eV per cell) = 17.4
- total moment (μB per formula unit) = 5.08
- final energy (eV/atom) = -7.0831

---

Compound: PuHfNb
Source: the Alexandria database
Functional: PBE-GGA
Structure: relaxed

a = 3.6784 Å, b = 3.6784 Å, c = 9.4875 Å
α = 90.00°, β = 90.00°, γ = 90.00°
Closest atoms and distances in Å follow each position.
Space group I4mm (No. 107)
Inequivalent atoms, fractional coordinates:
Pu  0.0000  0.0000  0.0000  5 Hf 3.03-3.12, 5 Nb 3.04-3.16
Hf  0.0000  0.0000  0.3191  5 Nb 2.98-3.30, 5 Pu 3.03-3.12
Nb  0.0000  0.0000  0.6665  5 Hf 2.98-3.30, 5 Pu 3.04-3.16

- energy of formation from the pure elements (eV/atom) = 0.21
- calculated density (Mg/m³) = 13.334
- DOS at the Fermi energy (states/eV per cell) = 10.3
- total moment (μB per formula unit) = 5.09
- final energy (eV/atom) = -11.2432

---

Compound: NiTeP2Pt
Source: the Alexandria database
Functional: PBE-GGA
Structure: relaxed

a = 6.8019 Å, b = 3.5783 Å, c = 8.1186 Å
α = 90.00°, β = 101.25°, γ = 90.00°
Closest atoms and distances in Å follow each position.
Space group Cm (No. 8)
Inequivalent atoms, fractional coordinates:
Ni  0.0000  0.0000  0.0000  3 P 2.23-2.33
Te  0.4561  0.5000  0.3494  2 P 2.55-2.72
P  0.1889  0.5000  0.0808  3 Ni 2.23-2.33, 1 Pt 2.38
P  0.4282  0.5000  0.6792  3 Pt 2.32, 1 Ni 2.55
Pt  0.1331  0.5000  0.7823  4 P 2.32-2.38

- calculated density (Mg/m³) = 7.597
- DOS at the Fermi energy (states/eV per cell) = 5.9
- total moment (μB per formula unit) = 0.00
- formation energy from raw total energies (eV/atom) = -0.17
- final energy (eV/atom) = -5.3231

---

Compound: Pm2Al3Si4
Source: the Alexandria database
Functional: PBE-GGA
Structure: relaxed

a = 5.9123 Å, b = 14.8332 Å, c = 7.7964 Å
α = 90.00°, β = 90.00°, γ = 90.00°
Closest atoms and distances in Å follow each position.
Space group Cmce (No. 64)
Inequivalent atoms, fractional coordinates:
Pm  0.0000  0.1131  0.0840  8 Si 3.07-3.16, 4 Al 3.20-3.36
Al  0.0000  0.0000  0.5000  6 Si 2.55-2.79
Al  0.2500  0.2166  0.7500  5 Si 2.49-2.79
Si  0.0000  0.1867  0.4515  5 Al 2.59-2.79
Si  0.2500  0.0485  0.7500  3 Al 2.49-2.55

- calculated density (Mg/m³) = 4.695
- DOS at the Fermi energy (states/eV per cell) = 14.4
- total moment (μB per formula unit) = 0.00
- formation energy from raw total energies (eV/atom) = -0.39
- final energy (eV/atom) = -5.1013

---

Compound: Ba2SrCdRh
Source: the Alexandria database
Functional: PBE-GGA
Structure: relaxed

a = 5.9921 Å, b = 5.9921 Å, c = 5.5648 Å
α = 90.00°, β = 90.00°, γ = 90.00°
Closest atoms and distances in Å follow each position.
Space group P4/mmm (No. 123)
Inequivalent atoms, fractional coordinates:
Ba  0.0000  0.5000  0.0000  2 Rh 3.00
Sr  0.0000  0.0000  0.5000  8 Ba 4.09, 4 Cd 4.24
Cd  0.5000  0.5000  0.5000  2 Rh 2.78
Rh  0.5000  0.5000  0.0000  2 Cd 2.78, 4 Ba 3.00

- energy of formation from the pure elements (eV/atom) = -0.09
- calculated density (Mg/m³) = 4.800
- DOS at the Fermi energy (states/eV per cell) = 4.8
- total moment (μB per formula unit) = 0.00
- final energy (eV/atom) = -2.8464

---

Compound: NaSrCa3
Source: the Alexandria database
Functional: PBE-GGA
Structure: relaxed

a = 6.1874 Å, b = 6.1874 Å, c = 6.1874 Å
α = 90.00°, β = 90.00°, γ = 90.00°
Closest atoms and distances in Å follow each position.
Space group Pm-3m (No. 221)
Inequivalent atoms, fractional coordinates:
Na  0.0000  0.0000  0.0000  6 Ca 3.09
Sr  0.5000  0.5000  0.5000  12 Ca 4.38
Ca  0.0000  0.0000  0.5000  2 Na 3.09

- energy of formation from the pure elements (eV/atom) = 0.29
- calculated density (Mg/m³) = 1.618
- DOS at the Fermi energy (states/eV per cell) = 5.1
- total moment (μB per formula unit) = 0.00
- final energy (eV/atom) = -1.5109

---

Compound: YMo2W
Source: the Alexandria database
Functional: PBE-GGA
Structure: relaxed

a = 3.0745 Å, b = 3.0745 Å, c = 27.4944 Å
α = 90.00°, β = 90.00°, γ = 120.00°
Closest atoms and distances in Å follow each position.
Space group R3m (No. 160, hexagonal axes)
Inequivalent atoms, fractional coordinates:
Y  0.0000  0.0000  0.0000  6 Y 3.07, 3 Mo 3.12, 3 W 3.13
Mo  0.0000  0.0000  0.4988  3 Mo 2.66, 3 W 2.70
Mo  0.0000  0.0000  0.7601  3 Mo 2.66
W  0.0000  0.0000  0.2396  3 Mo 2.70

- energy of formation from the pure elements (eV/atom) = 0.56
- calculated density (Mg/m³) = 10.284
- DOS at the Fermi energy (states/eV per cell) = 11.7
- total moment (μB per formula unit) = 0.00
- final energy (eV/atom) = -9.7086

---

Compound: Np2TcAs
Source: the Alexandria database
Functional: PBE-GGA
Structure: relaxed

a = 4.3001 Å, b = 4.3001 Å, c = 4.1271 Å
α = 90.00°, β = 90.00°, γ = 90.00°
Closest atoms and distances in Å follow each position.
Space group P4/mmm (No. 123)
Inequivalent atoms, fractional coordinates:
Np  0.0000  0.5000  0.0000  4 As 2.98, 4 Tc 2.98, 4 Np 3.04
Tc  0.0000  0.0000  0.5000  8 Np 2.98, 4 As 3.04
As  0.5000  0.5000  0.5000  8 Np 2.98, 4 Tc 3.04

- energy of formation from the pure elements (eV/atom) = -0.14
- calculated density (Mg/m³) = 14.077
- DOS at the Fermi energy (states/eV per cell) = 7.7
- total moment (μB per formula unit) = 6.77
- final energy (eV/atom) = -10.3623

---

Compound: ZnNiBr
Source: the Alexandria database
Functional: PBE-GGA
Structure: relaxed

a = 6.2389 Å, b = 10.1857 Å, c = 3.8676 Å
α = 90.00°, β = 105.12°, γ = 90.00°
Closest atoms and distances in Å follow each position.
Space group Cc (No. 9)
Inequivalent atoms, fractional coordinates:
Zn  0.0000  0.0918  0.0000  3 Ni 2.38-2.43, 1 Br 2.52
Ni  0.2577  0.4071  0.8945  3 Zn 2.38-2.43, 2 Br 2.49-2.53
Br  0.3877  0.1736  0.0439  2 Ni 2.49-2.53, 1 Zn 2.52

- calculated density (Mg/m³) = 5.711
- DOS at the Fermi energy (states/eV per cell) = 8.4
- total moment (μB per formula unit) = 0.10
- formation energy from raw total energies (eV/atom) = -0.05
- final energy (eV/atom) = -2.9592

---

Compound: V2PdRu
Source: the Alexandria database
Functional: PBE-GGA
Structure: relaxed

a = 3.9029 Å, b = 3.9029 Å, c = 3.6607 Å
α = 90.00°, β = 90.00°, γ = 90.00°
Closest atoms and distances in Å follow each position.
Space group P4/mmm (No. 123)
Inequivalent atoms, fractional coordinates:
V  0.0000  0.5000  0.0000  4 Ru 2.68, 4 Pd 2.68, 4 V 2.76
Pd  0.0000  0.0000  0.5000  8 V 2.68, 4 Ru 2.76
Ru  0.5000  0.5000  0.5000  8 V 2.68, 4 Pd 2.76

- energy of formation from the pure elements (eV/atom) = -0.17
- calculated density (Mg/m³) = 9.213
- DOS at the Fermi energy (states/eV per cell) = 4.7
- total moment (μB per formula unit) = 0.00
- final energy (eV/atom) = -8.3490

---

Compound: Tb3Si2Rh5
Source: the Alexandria database
Functional: PBE-GGA
Structure: relaxed

a = 10.0078 Å, b = 10.0078 Å, c = 3.5474 Å
α = 90.00°, β = 90.00°, γ = 90.00°
Closest atoms and distances in Å follow each position.
Space group P4/mbm (No. 127)
Inequivalent atoms, fractional coordinates:
Tb  0.0000  0.0000  0.0000  8 Rh 2.93
Tb  0.1738  0.3262  0.0000  3 Si 2.88-3.01, 10 Rh 3.03-3.19
Si  0.1226  0.6226  0.0000  6 Rh 2.41-2.48
Rh  0.0000  0.5000  0.5000  4 Si 2.48
Rh  0.0701  0.7773  0.5000  2 Si 2.41

- calculated density (Mg/m³) = 9.791
- DOS at the Fermi energy (states/eV per cell) = 8.1
- total moment (μB per formula unit) = 0.00
- formation energy from raw total energies (eV/atom) = -0.99
- final energy (eV/atom) = -7.1367